# 1
## BeCdMo (PBE)

Data for a geometry-optimized BeCdMo structure.

a b c (Å): 2.8149 2.8149 6.7838
angles (deg): 90.00 90.00 120.00
Closest atoms and distances in Å follow each position.
Fractional coordinates of all 3 atoms:
Be (0.0000, 0.0000, 0.9848)  3 Mo 2.54, 3 Cd 2.78, 6 Be 2.81
Mo (0.3333, 0.6667, 0.6972)  3 Be 2.54, 6 Mo 2.81
Cd (0.6667, 0.3333, 0.3180)  3 Be 2.78, 6 Cd 2.81, 3 Mo 3.04

## Properties
* Fermi-level density of states: 1.9 states/eV per cell
* E_tot: -4.684 eV per atom
* SG: No. 156

---

# 2
## Be2CdMo2 (PBE)

Data for a geometry-optimized Be2CdMo2 structure.

a b c (Å): 6.2665 6.2665 3.3656
angles (deg): 90.00 90.00 90.00
Closest atoms and distances in Å follow each position.
Fractional coordinates of all 10 atoms:
Be (0.3849, 0.8849, 0.0000)  1 Be 2.04
Be (0.8849, 0.6151, 0.0000)  1 Be 2.04
Be (0.6151, 0.1151, 0.0000)  1 Be 2.04
Be (0.1151, 0.3849, 0.0000)  1 Be 2.04
Mo (0.1718, 0.6718, 0.5000)  6 Be 2.49-2.53
Mo (0.6718, 0.8282, 0.5000)  6 Be 2.49-2.53
Mo (0.8282, 0.3282, 0.5000)  6 Be 2.49-2.53
Mo (0.3282, 0.1718, 0.5000)  6 Be 2.49-2.53
Cd (0.0000, 0.0000, 0.0000)  4 Be 2.52
Cd (0.5000, 0.5000, 0.0000)  4 Be 2.52

## Properties
* Fermi-level density of states: 6.2 states/eV per cell
* E_tot: -5.821 eV per atom
* SG: No. 127

---

# 3
## BeCd2Mo (PBE)

Data for a geometry-optimized BeCd2Mo structure.

a b c (Å): 4.4266 2.8708 5.3888
angles (deg): 74.99 90.00 90.00
Closest atoms and distances in Å follow each position.
Fractional coordinates of all 4 atoms:
Be (0.5000, 0.7500, 0.7500)  4 Cd 2.64, 2 Mo 2.70, 2 Be 2.87
Mo (0.5000, 0.2500, 0.2500)  2 Be 2.70, 2 Mo 2.87, 8 Cd 2.96-2.98
Cd (0.0000, 0.8865, 0.9886)  2 Be 2.64, 5 Cd 2.72-2.88, 2 Mo 2.96
Cd (0.0000, 0.6135, 0.5114)  2 Be 2.64, 5 Cd 2.72-2.88, 2 Mo 2.96

## Properties
* Fermi-level density of states: 1.9 states/eV per cell
* E_tot: -3.580 eV per atom
* SG: No. 10

---

# 4
## BeCd2Mo (PBE)

Data for a geometry-optimized BeCd2Mo structure.

a b c (Å): 2.7947 3.1599 7.4796
angles (deg): 90.00 90.00 90.00
Closest atoms and distances in Å follow each position.
Fractional coordinates of all 4 atoms:
Be (0.5000, 0.5000, 0.7271)  4 Mo 2.49, 4 Cd 2.72
Mo (0.0000, 0.0000, 0.5512)  4 Be 2.49
Cd (0.0000, 0.0000, 0.9559)  4 Be 2.72, 2 Cd 2.79, 1 Mo 3.03
Cd (0.5000, 0.5000, 0.2658)  2 Cd 2.79, 4 Mo 3.00

## Properties
* Fermi-level density of states: 2.2 states/eV per cell
* E_tot: -3.767 eV per atom
* SG: No. 25

---

# 5
## BeCd2Mo (PBE)

Data for a geometry-optimized BeCd2Mo structure.

a b c (Å): 2.7959 2.7959 8.7124
angles (deg): 90.00 90.00 101.73
Closest atoms and distances in Å follow each position.
Fractional coordinates of all 4 atoms:
Be (0.5000, 0.5000, 0.7313)  2 Mo 2.43, 2 Cd 2.66
Mo (0.0000, 0.0000, 0.5390)  2 Be 2.43
Cd (0.0000, 0.0000, 0.9601)  4 Be 2.66-2.95, 4 Cd 2.80
Cd (0.5000, 0.5000, 0.2697)  4 Cd 2.80, 2 Mo 2.94

## Properties
* Fermi-level density of states: 0.9 states/eV per cell
* E_tot: -3.792 eV per atom
* SG: No. 35

---

# 6
## BeCd2Mo (PBE)

Data for a geometry-optimized BeCd2Mo structure.

a b c (Å): 2.8086 2.8086 8.2303
angles (deg): 90.00 90.00 90.00
Closest atoms and distances in Å follow each position.
Fractional coordinates of all 4 atoms:
Be (0.5000, 0.5000, 0.7500)  8 Cd 2.70, 4 Be 2.81
Mo (0.5000, 0.5000, 0.2500)  4 Mo 2.81, 8 Cd 3.03
Cd (0.0000, 0.0000, 0.9726)  4 Be 2.70, 4 Cd 2.81, 4 Mo 3.03
Cd (0.0000, 0.0000, 0.5274)  4 Be 2.70, 4 Cd 2.81, 4 Mo 3.03

## Properties
* Fermi-level density of states: 1.4 states/eV per cell
* E_tot: -3.608 eV per atom
* SG: No. 123

---

# 7
## BeCd2Mo (PBE)

Data for a geometry-optimized BeCd2Mo structure.

a b c (Å): 9.6169 9.6169 9.6169
angles (deg): 17.28 17.28 17.28
Closest atoms and distances in Å follow each position.
Fractional coordinates of all 4 atoms:
Be (0.7567, 0.7567, 0.7567)  3 Mo 2.51, 3 Cd 2.81
Mo (0.4895, 0.4895, 0.4895)  3 Be 2.51
Cd (0.0104, 0.0104, 0.0104)  3 Be 2.81, 6 Cd 2.89
Cd (0.2434, 0.2434, 0.2434)  6 Cd 2.89, 3 Mo 2.99

## Properties
* Fermi-level density of states: 1.9 states/eV per cell
* E_tot: -3.691 eV per atom
* SG: No. 160

---

# 8
## BeCd2Mo (PBE)

Data for a geometry-optimized BeCd2Mo structure.

a b c (Å): 3.8090 3.8090 10.2389
angles (deg): 79.28 79.28 90.00
Closest atoms and distances in Å follow each position.
Fractional coordinates of all 8 atoms:
Be (0.5000, 0.5000, 0.0000)  4 Mo 2.69, 4 Cd 2.81
Be (0.2500, 0.7500, 0.5000)  4 Mo 2.69, 4 Cd 2.81
Mo (0.0000, 0.0000, 0.0000)  4 Be 2.69, 4 Cd 2.82
Mo (0.7500, 0.2500, 0.5000)  4 Be 2.69, 4 Cd 2.82
Cd (0.6197, 0.1250, 0.2500)  4 Cd 2.66-2.72, 2 Be 2.81, 2 Mo 2.82
Cd (0.1303, 0.6250, 0.2500)  4 Cd 2.66-2.72, 2 Be 2.81, 2 Mo 2.82
Cd (0.3750, 0.3803, 0.7500)  4 Cd 2.66-2.72, 2 Be 2.81, 2 Mo 2.82
Cd (0.8750, 0.8697, 0.7500)  4 Cd 2.66-2.72, 2 Be 2.81, 2 Mo 2.82

## Properties
* Fermi-level density of states: 3.9 states/eV per cell
* E_tot: -3.278 eV per atom
* SG: No. 122

---

Q: What is the formula in the second record?
A: Be2CdMo2

---

Q: The highest E_tot belongs to which entry?
A: number 8